# Mg2SiO4

A relaxed Mg2SiO4 crystal (GGA-PBE, Alexandria via LeMat-Bulk).

## Properties
Uncorrected formation energy   -57.22 kcal/mol of atoms

Cell lengths 7.8853, 7.8853, 7.8853 Å; angles 136.46, 85.40, 110.82 degrees
Last column: nearest neighbours and their distance in Å.
Fractional positions:
Mg (0.0000, 0.0000, 0.0000)  6 O 2.13-2.19
Mg (0.3056, 0.5556, 0.7500)  5 O 1.87-2.08
Mg (0.3680, 0.0000, 0.8680)  6 O 2.08-2.28
Mg (0.3680, 0.5000, 0.3680)  6 O 2.08-2.28
Mg (0.5000, 0.0000, 0.5000)  6 O 2.13-2.19
Mg (0.6320, 0.0000, 0.1320)  6 O 2.08-2.28
Mg (0.6320, 0.5000, 0.6320)  6 O 2.08-2.28
Mg (0.6944, 0.4444, 0.2500)  5 O 1.87-2.08
Si (0.0160, 0.6261, 0.3899)  4 O 1.65-1.72
Si (0.2638, 0.3739, 0.8899)  4 O 1.65-1.72
Si (0.7362, 0.6261, 0.1101)  4 O 1.65-1.72
Si (0.9840, 0.3739, 0.6101)  4 O 1.65-1.72
O (0.0606, 0.3106, 0.7500)  2 Si 1.72
O (0.1117, 0.2795, 0.3982)  1 Si 1.68
O (0.1117, 0.7135, 0.8322)  1 Si 1.68
O (0.2353, 0.2445, 0.9908)  1 Si 1.65
O (0.2463, 0.7555, 0.4908)  1 Si 1.65
O (0.3814, 0.2795, 0.6678)  1 Si 1.68
O (0.3814, 0.7135, 0.1018)  1 Si 1.68
O (0.4859, 0.2359, 0.2500)  1 Mg 1.87
O (0.5141, 0.7641, 0.7500)  1 Mg 1.87
O (0.6186, 0.2865, 0.8982)  1 Si 1.68
O (0.6186, 0.7205, 0.3322)  1 Si 1.68
O (0.7537, 0.2445, 0.5092)  1 Si 1.65
O (0.7647, 0.7555, 0.0092)  1 Si 1.65
O (0.8883, 0.2865, 0.1678)  1 Si 1.68
O (0.8883, 0.7205, 0.6018)  1 Si 1.68
O (0.9394, 0.6894, 0.2500)  2 Si 1.72